[1]
Compound: NaTmAg
Source: OQMD via LeMat-Bulk
Functional: PBE
Structure: optimized geometry

As for the density: 6.0 Mg/m³. For the spin magnetization, the calculation gives 0.003 μB/f.u. The energy relative to the lowest polymorph listed for this composition is 0 meV/atom.

The space group is F-43m (No. 216) and the conventional cell measures 6.9106, 6.9106 and 6.9106 Å, with angles of 90.00, 90.00 and 90.00 degrees. The asymmetric unit holds Na at (0.0000, 0.0000, 0.0000), Tm at (0.0000, 0.0000, 0.5000) and Ag at (0.2500, 0.2500, 0.2500).

=====

[2]
Compound: Li4Bi2PdAu
Source: OQMD via LeMat-Bulk
Functional: PBE
Structure: optimized geometry

As for the density: 8.5 Mg/m³. As for the electronic total energy: -28.2 eV for the cell shown.

The space group is P-4m2 (No. 115) and the conventional cell measures 4.6968, 4.6968 and 6.6496 Å, with angles of 90.00, 90.00 and 90.00 degrees. The asymmetric unit holds Li at (0.0000, 0.0000, 0.0000), Li at (0.0000, 0.5000, 0.2481), Li at (0.5000, 0.5000, 0.5000), Bi at (0.0000, 0.5000, 0.7610), Pd at (0.5000, 0.5000, 0.0000) and Au at (0.0000, 0.0000, 0.5000).

=====

[3]
Compound: ZrUZn
Source: OQMD via LeMat-Bulk
Functional: PBE
Structure: optimized geometry

As for the density: 9.4 Mg/m³. For the spin magnetization, the calculation gives 2.386 μB/f.u. The energy relative to the lowest polymorph listed for this composition is 0 meV/atom.

The space group is F-43m (No. 216) and the conventional cell measures 6.5299, 6.5299 and 6.5299 Å, with angles of 90.00, 90.00 and 90.00 degrees. The asymmetric unit holds Zr at (0.0000, 0.0000, 0.0000), U at (0.0000, 0.0000, 0.5000) and Zn at (0.2500, 0.2500, 0.7500).

=====

[4]
Compound: TbMgCuSe3
Source: OQMD via LeMat-Bulk
Functional: PBE
Structure: optimized geometry

As for the density: 5.9 Mg/m³. For the spin magnetization, the calculation gives 0.001 μB/f.u. The energy relative to the lowest polymorph listed for this composition is 0 meV/atom.

The space group is P2_1/m (No. 11) and the conventional cell measures 7.7028, 3.8701 and 9.2489 Å, with angles of 90.00, 100.48 and 90.00 degrees. The asymmetric unit holds Tb at (0.1851, 0.2500, 0.1722), Mg at (0.2927, 0.7500, 0.7152), Cu at (0.4210, 0.7500, 0.4201), Se at (0.0942, 0.2500, 0.8455), Se at (0.2399, 0.2500, 0.4868) and Se at (0.4501, 0.7500, 0.1608).

=====

[5]
Compound: BaZrOs2
Source: OQMD via LeMat-Bulk
Functional: PBE
Structure: optimized geometry

As for the density: 12.8 Mg/m³. For the spin magnetization, the calculation gives 0.006 μB/f.u. As for the electronic total energy: -116.7 eV for the cell shown.

The space group is F-43m (No. 216) and the conventional cell measures 6.8051, 6.8051 and 6.8051 Å, with angles of 90.00, 90.00 and 90.00 degrees. The asymmetric unit holds Ba at (0.0000, 0.0000, 0.0000), Zr at (0.2500, 0.2500, 0.2500), Os at (0.0000, 0.0000, 0.5000) and Os at (0.2500, 0.2500, 0.7500).

=====

[6]
Compound: BaCuP
Source: OQMD via LeMat-Bulk
Functional: PBE
Structure: optimized geometry

As for the density: 5.4 Mg/m³. As for the electronic total energy: -53.0 eV for the cell shown.

The space group is P6_3/mmc (No. 194) and the conventional cell measures 4.2086, 4.2086 and 18.4652 Å, with angles of 90.00, 90.00 and 120.00 degrees. The asymmetric unit holds Ba at (0.0000, 0.0000, 0.0000), Ba at (0.0000, 0.0000, 0.2500), Cu at (0.3333, 0.6667, 0.1246) and P at (0.3333, 0.6667, 0.6249).

=====

[7]
Compound: BeFeSbW
Source: OQMD via LeMat-Bulk
Functional: PBE
Structure: optimized geometry

As for the density: 10.7 Mg/m³. For the spin magnetization, the calculation gives 1.931 μB/f.u. As for the electronic total energy: -107.3 eV for the cell shown.

The space group is F-43m (No. 216) and the conventional cell measures 6.1267, 6.1267 and 6.1267 Å, with angles of 90.00, 90.00 and 90.00 degrees. The asymmetric unit holds Be at (0.0000, 0.0000, 0.0000), Fe at (0.2500, 0.2500, 0.7500), Sb at (0.0000, 0.0000, 0.5000) and W at (0.2500, 0.2500, 0.2500).

=====

[8]
Compound: K7Fe4Te8
Source: OQMD via LeMat-Bulk
Functional: PBE
Structure: optimized geometry

As for the density: 3.9 Mg/m³. For the spin magnetization, the calculation gives 10.992 μB/f.u. As for the electronic total energy: -156.2 eV for the cell shown.

The space group is P4_2/nmc (No. 137, origin choice 2) and the conventional cell measures 12.1398, 12.1398 and 8.6807 Å, with angles of 90.00, 90.00 and 90.00 degrees. The asymmetric unit holds K at (0.0080, 0.5080, 0.2500), K at (0.2500, 0.2500, 0.2145), K at (0.2500, 0.7500, 0.2500), Fe at (0.1450, 0.7500, 0.8550), Te at (0.0247, 0.2500, 0.9666) and Te at (0.0679, 0.7500, 0.5731).

=====

[9]
Compound: InCuSn2
Source: OQMD via LeMat-Bulk
Functional: PBE
Structure: optimized geometry

As for the density: 7.2 Mg/m³. As for the electronic total energy: -54.1 eV for the cell shown.

The space group is F-43m (No. 216) and the conventional cell measures 7.2501, 7.2501 and 7.2501 Å, with angles of 90.00, 90.00 and 90.00 degrees. The asymmetric unit holds In at (0.0000, 0.0000, 0.0000), Cu at (0.2500, 0.2500, 0.2500), Sn at (0.0000, 0.0000, 0.5000) and Sn at (0.2500, 0.2500, 0.7500).

=====

[10]
Compound: AsW2S2
Source: OQMD via LeMat-Bulk
Functional: PBE
Structure: optimized geometry

As for the density: 9.9 Mg/m³. For the spin magnetization, the calculation gives 0.007 μB/f.u. As for the electronic total energy: -144.5 eV for the cell shown.

The space group is I4/mmm (No. 139) and the conventional cell measures 3.9509, 3.9509 and 21.6983 Å, with angles of 90.00, 90.00 and 90.00 degrees. The asymmetric unit holds As at (0.0000, 0.0000, 0.1180), W at (0.0000, 0.0000, 0.4323), W at (0.0000, 0.5000, 0.2500), S at (0.0000, 0.0000, 0.3152) and S at (0.0000, 0.5000, 0.0000).

=====

[11]
Compound: NiMoPd2
Source: OQMD via LeMat-Bulk
Functional: PBE
Structure: optimized geometry

As for the density: 10.6 Mg/m³. For the spin magnetization, the calculation gives 0.784 μB/f.u. As for the electronic total energy: -104.8 eV for the cell shown.

The space group is F-43m (No. 216) and the conventional cell measures 6.1332, 6.1332 and 6.1332 Å, with angles of 90.00, 90.00 and 90.00 degrees. The asymmetric unit holds Ni at (0.0000, 0.0000, 0.0000), Mo at (0.2500, 0.2500, 0.2500), Pd at (0.0000, 0.0000, 0.5000) and Pd at (0.2500, 0.2500, 0.7500).

=====

[12]
Compound: YAlZnCu
Source: OQMD via LeMat-Bulk
Functional: PBE
Structure: optimized geometry

As for the density: 5.7 Mg/m³. For the spin magnetization, the calculation gives 0.003 μB/f.u. The energy relative to the lowest polymorph listed for this composition is 160 meV/atom.

The space group is F-43m (No. 216) and the conventional cell measures 6.5835, 6.5835 and 6.5835 Å, with angles of 90.00, 90.00 and 90.00 degrees. The asymmetric unit holds Y at (0.0000, 0.0000, 0.0000), Al at (0.2500, 0.2500, 0.2500), Zn at (0.2500, 0.2500, 0.7500) and Cu at (0.0000, 0.0000, 0.5000).